This record from Alexandria via LeMat-Bulk describes a relaxed Ba3In2Ga2Ge4 crystal. The functional is PBE-GGA.

abc: 4.4894 4.4894 18.2374
angles: 90.00 90.00 120.00
Space group P-3m1 (No. 164)
Symmetry-distinct sites (fractional):
Ba 0.0000 0.0000 0.0000 [1 per cell]
Ba 0.0000 0.0000 0.2800 [2 per cell]
In 0.3333 0.6667 0.5585 [2 per cell]
Ga 0.3333 0.6667 0.1513 [2 per cell]
Ge 0.3333 0.6667 0.3952 [2 per cell]
Ge 0.3333 0.6667 0.8710 [2 per cell]

Computed properties:
As for the density of states at the Fermi level: 0.334 states/eV/atom. The calculation puts the formation energy at -0.43 eV per atom. The total energy is -3.678 eV per atom. Its density is 5.59 Mg/m³.


This record from Alexandria via LeMat-Bulk describes a relaxed BaInGa2Ge crystal. The functional is PBE-GGA.

abc: 4.6579 5.0739 10.8310
angles: 90.00 90.00 90.00
Space group Imm2 (No. 44)
Symmetry-distinct sites (fractional):
Ba 0.0000 0.0000 0.0000 [2 per cell]
In 0.0000 0.5000 0.7497 [2 per cell]
Ga 0.0000 0.0000 0.6341 [2 per cell]
Ga 0.0000 0.5000 0.2647 [2 per cell]
Ge 0.0000 0.0000 0.3938 [2 per cell]

Computed properties:
As for the density of states at the Fermi level: 0.337 states/eV/atom. The calculation puts the formation energy at -0.35 eV per atom. The total energy is -3.419 eV per atom. Its density is 6.02 Mg/m³.


This record from Alexandria via LeMat-Bulk describes a relaxed Ba3Ga4Ge2Ir2 crystal. The functional is PBE-GGA.

abc: 4.3170 4.3170 18.0845
angles: 90.00 90.00 120.00
Space group P-3m1 (No. 164)
Symmetry-distinct sites (fractional):
Ba 0.0000 0.0000 0.0000 [1 per cell]
Ba 0.0000 0.0000 0.2988 [2 per cell]
Ga 0.3333 0.6667 0.4402 [2 per cell]
Ga 0.3333 0.6667 0.8666 [2 per cell]
Ge 0.3333 0.6667 0.1513 [2 per cell]
Ir 0.3333 0.6667 0.5807 [2 per cell]

Computed properties:
As for the density of states at the Fermi level: 0.447 states/eV/atom. The calculation puts the formation energy at -0.38 eV per atom. The total energy is -4.458 eV per atom. Its density is 6.94 Mg/m³.


This record from Alexandria via LeMat-Bulk describes a relaxed BaGa2GeIr crystal. The functional is PBE-GGA.

abc: 4.8091 4.8091 6.2629
angles: 90.00 90.00 90.00
Space group P4/mmm (No. 123)
Symmetry-distinct sites (fractional):
Ba 0.0000 0.0000 0.0000 [1 per cell]
Ga 0.0000 0.5000 0.5000 [2 per cell]
Ge 0.0000 0.0000 0.5000 [1 per cell]
Ir 0.5000 0.5000 0.0000 [1 per cell]

Computed properties:
As for the density of states at the Fermi level: 1.502 states/eV/atom. The calculation puts the formation energy at 0.72 eV per atom. The total energy is -3.568 eV per atom. The value obtained for the energy above the lowest structure with this stoichiometry is 1008.8 meV per atom. Its density is 6.21 Mg/m³.


This record from Alexandria via LeMat-Bulk describes a relaxed BaGa2GeIr crystal. The functional is PBE-GGA.

abc: 4.9008 4.9008 5.0058
angles: 90.00 90.00 90.00
Space group P4/mmm (No. 123)
Symmetry-distinct sites (fractional):
Ba 0.0000 0.0000 0.0000 [1 per cell]
Ga 0.0000 0.5000 0.5000 [2 per cell]
Ge 0.5000 0.5000 0.0000 [1 per cell]
Ir 0.5000 0.5000 0.5000 [1 per cell]

Computed properties:
As for the density of states at the Fermi level: 1.119 states/eV/atom. The calculation puts the formation energy at -0.29 eV per atom. The total energy is -4.577 eV per atom. The value obtained for the energy above the lowest structure with this stoichiometry is 0.0 meV per atom. Its density is 7.48 Mg/m³.


This record from Alexandria via LeMat-Bulk describes a relaxed Ba2LiGaGe2 crystal. The functional is PBE-GGA.

abc: 6.5989 15.2198 6.6005
angles: 90.00 90.00 90.00
Space group Ibam (No. 72)
Symmetry-distinct sites (fractional):
Ba 0.2457 0.1588 0.0000 [8 per cell]
Li 0.0000 0.0000 0.2500 [4 per cell]
Ga 0.0000 0.5000 0.2500 [4 per cell]
Ge 0.2376 0.4031 0.0000 [8 per cell]

Computed properties:
As for the density of states at the Fermi level: 0.108 states/eV/atom. The calculation puts the formation energy at -0.52 eV per atom. The total energy is -3.524 eV per atom. Its density is 4.98 Mg/m³.


This record from Alexandria via LeMat-Bulk describes a relaxed BaLiGaGe2 crystal. The functional is PBE-GGA.

abc: 4.6051 4.6051 10.8325
angles: 90.00 90.00 90.00
Space group I-4m2 (No. 119)
Symmetry-distinct sites (fractional):
Ba 0.0000 0.0000 0.0000 [2 per cell]
Li 0.0000 0.5000 0.2500 [2 per cell]
Ga 0.0000 0.5000 0.7500 [2 per cell]
Ge 0.0000 0.0000 0.3814 [4 per cell]

Computed properties:
As for the density of states at the Fermi level: 0.229 states/eV/atom. The calculation puts the formation energy at -0.46 eV per atom. The total energy is -3.676 eV per atom. Its density is 5.19 Mg/m³.


This record from Alexandria via LeMat-Bulk describes a relaxed Ba2LiGa3Ge4 crystal. The functional is PBE-GGA.

abc: 4.7192 4.7192 10.4461
angles: 90.00 90.00 90.00
Space group P-4m2 (No. 115)
Symmetry-distinct sites (fractional):
Ba 0.0000 0.5000 0.2483 [2 per cell]
Li 0.5000 0.5000 0.0000 [1 per cell]
Ga 0.0000 0.0000 0.0000 [1 per cell]
Ga 0.0000 0.5000 0.6252 [2 per cell]
Ge 0.0000 0.0000 0.5000 [1 per cell]
Ge 0.0000 0.5000 0.8711 [2 per cell]
Ge 0.5000 0.5000 0.5000 [1 per cell]

Computed properties:
As for the density of states at the Fermi level: 0.288 states/eV/atom. The calculation puts the formation energy at -0.41 eV per atom. The total energy is -3.745 eV per atom. Its density is 5.58 Mg/m³.


This record from Alexandria via LeMat-Bulk describes a relaxed Ba2Mg4GaGe3 crystal. The functional is PBE-GGA.

abc: 4.6982 4.6982 11.5290
angles: 90.00 90.00 90.00
Space group P-4m2 (No. 115)
Symmetry-distinct sites (fractional):
Ba 0.0000 0.5000 0.2491 [2 per cell]
Mg 0.0000 0.0000 0.5000 [1 per cell]
Mg 0.0000 0.5000 0.8707 [2 per cell]
Mg 0.5000 0.5000 0.5000 [1 per cell]
Ga 0.5000 0.5000 0.0000 [1 per cell]
Ge 0.0000 0.0000 0.0000 [1 per cell]
Ge 0.0000 0.5000 0.6337 [2 per cell]

Computed properties:
As for the density of states at the Fermi level: 0.352 states/eV/atom. The calculation puts the formation energy at -0.43 eV per atom. The total energy is -3.139 eV per atom. Its density is 4.30 Mg/m³.


This record from Alexandria via LeMat-Bulk describes a relaxed Ba2MgGa4Ge3 crystal. The functional is PBE-GGA.

abc: 4.5857 4.5857 11.6300
angles: 90.00 90.00 90.00
Space group P-4m2 (No. 115)
Symmetry-distinct sites (fractional):
Ba 0.0000 0.5000 0.2424 [2 per cell]
Mg 0.0000 0.0000 0.5000 [1 per cell]
Ga 0.0000 0.0000 0.0000 [1 per cell]
Ga 0.0000 0.5000 0.6354 [2 per cell]
Ga 0.5000 0.5000 0.0000 [1 per cell]
Ge 0.0000 0.5000 0.8763 [2 per cell]
Ge 0.5000 0.5000 0.5000 [1 per cell]

Computed properties:
As for the density of states at the Fermi level: 0.505 states/eV/atom. The calculation puts the formation energy at -0.35 eV per atom. The total energy is -3.491 eV per atom. Its density is 5.40 Mg/m³.


This record from Alexandria via LeMat-Bulk describes a relaxed BaMgGa2Ge crystal. The functional is PBE-GGA.

abc: 5.0810 5.0810 6.1299
angles: 90.00 90.00 90.00
Space group P4/mmm (No. 123)
Symmetry-distinct sites (fractional):
Ba 0.0000 0.0000 0.0000 [1 per cell]
Mg 0.0000 0.0000 0.5000 [1 per cell]
Ga 0.0000 0.5000 0.5000 [2 per cell]
Ge 0.5000 0.5000 0.0000 [1 per cell]

Computed properties:
As for the density of states at the Fermi level: 0.585 states/eV/atom. The calculation puts the formation energy at 0.40 eV per atom. The total energy is -2.438 eV per atom. Its density is 3.92 Mg/m³.


This record from Alexandria via LeMat-Bulk describes a relaxed BaMnGa2Ge crystal. The functional is PBE-GGA.

abc: 4.7786 4.7786 4.6726
angles: 90.00 90.00 90.00
Space group P4/mmm (No. 123)
Symmetry-distinct sites (fractional):
Ba 0.0000 0.0000 0.0000 [1 per cell]
Mn 0.5000 0.5000 0.5000 [1 per cell]
Ga 0.0000 0.5000 0.5000 [2 per cell]
Ge 0.5000 0.5000 0.0000 [1 per cell]

Computed properties:
As for the density of states at the Fermi level: 0.401 states/eV/atom. The calculation puts the formation energy at -0.33 eV per atom. The total energy is -4.680 eV per atom. Its density is 6.29 Mg/m³.